1 | Below is a relaxed structure of SrBSe2N, with properties calculated at the PBE-GGA level.

Cell lengths 5.758, 5.758, 2.794 Å; angles 90.00, 90.00, 90.00 degrees
Positions (direct):
Sr (0.500, 0.500, 0.500)
B (0.000, 0.000, 0.000)
Se (0.000, 0.500, 0.000)
Se (0.500, 0.000, 0.000)
N (0.000, 0.000, 0.500)

## Properties
SG: P4/mmm


2 | Below is a relaxed structure of SrBSe2N, with properties calculated at the PBE-GGA level.

Cell lengths 5.761, 5.761, 4.489 Å; angles 90.00, 90.00, 90.00 degrees
Positions (direct):
Sr (0.000, 0.000, 0.000)
B (0.500, 0.500, 0.500)
Se (0.000, 0.500, 0.000)
Se (0.500, 0.000, 0.000)
N (0.000, 0.000, 0.500)

## Properties
SG: P4/mmm


The calculated energies rank the structures as follows, beginning with the most stable: 1, 2.


1 | Below is a relaxed structure of TaBSeN2, with properties calculated at the PBE-GGA level.

Cell lengths 3.615, 3.615, 4.230 Å; angles 90.00, 90.00, 90.00 degrees
Positions (direct):
B (0.000, 0.000, 0.000)
N (0.000, 0.500, 0.000)
N (0.500, 0.000, 0.000)
Se (0.000, 0.000, 0.500)
Ta (0.500, 0.500, 0.500)

## Properties
SG: P4/mmm


2 | Below is a relaxed structure of TaBSeN2, with properties calculated at the PBE-GGA level.

Cell lengths 3.926, 3.926, 5.494 Å; angles 90.00, 90.00, 90.00 degrees
Positions (direct):
B (0.500, 0.500, 0.500)
N (0.000, 0.500, 0.000)
N (0.500, 0.000, 0.000)
Se (0.000, 0.000, 0.500)
Ta (0.000, 0.000, 0.000)

## Properties
SG: P4/mmm


The calculated energies rank the structures as follows, beginning with the most stable: 2, 1.


1 | Below is a relaxed structure of TcBSeN2, with properties calculated at the PBE-GGA level.

Cell lengths 3.289, 3.289, 6.603 Å; angles 90.00, 90.00, 90.00 degrees
Positions (direct):
B (0.000, 0.000, 0.000)
Tc (0.500, 0.500, 0.500)
Se (0.000, 0.000, 0.500)
N (0.000, 0.500, 0.000)
N (0.500, 0.000, 0.000)

## Properties
SG: P4/mmm


2 | Below is a relaxed structure of TcBSeN2, with properties calculated at the PBE-GGA level.

Cell lengths 3.759, 3.759, 5.400 Å; angles 90.00, 90.00, 90.00 degrees
Positions (direct):
B (0.500, 0.500, 0.500)
Tc (0.000, 0.000, 0.000)
Se (0.000, 0.000, 0.500)
N (0.000, 0.500, 0.000)
N (0.500, 0.000, 0.000)

## Properties
SG: P4/mmm


The calculated energies rank the structures as follows, beginning with the most stable: 2, 1.


1 | Below is a relaxed structure of VBSeN2, with properties calculated at the PBE-GGA level.

Cell lengths 3.257, 3.257, 6.106 Å; angles 90.00, 90.00, 90.00 degrees
Positions (direct):
B (0.000, 0.000, 0.000)
N (0.000, 0.500, 0.000)
N (0.500, 0.000, 0.000)
Se (0.000, 0.000, 0.500)
V (0.500, 0.500, 0.500)

## Properties
SG: P4/mmm


2 | Below is a relaxed structure of VBSeN2, with properties calculated at the PBE-GGA level.

Cell lengths 3.648, 3.648, 5.353 Å; angles 90.00, 90.00, 90.00 degrees
Positions (direct):
B (0.500, 0.500, 0.500)
N (0.000, 0.500, 0.000)
N (0.500, 0.000, 0.000)
Se (0.000, 0.000, 0.500)
V (0.000, 0.000, 0.000)

## Properties
SG: P4/mmm


The calculated energies rank the structures as follows, beginning with the most stable: 2, 1.


1 | Below is a relaxed structure of BWSeN2, with properties calculated at the PBE-GGA level.

Cell lengths 3.858, 3.858, 5.289 Å; angles 90.00, 90.00, 90.00 degrees
Positions (direct):
B (0.500, 0.500, 0.500)
Se (0.000, 0.000, 0.500)
W (0.000, 0.000, 0.000)
N (0.000, 0.500, 0.000)
N (0.500, 0.000, 0.000)

## Properties
SG: P4/mmm


2 | Below is a relaxed structure of BWSeN2, with properties calculated at the PBE-GGA level.

Cell lengths 3.590, 3.590, 4.200 Å; angles 90.00, 90.00, 90.00 degrees
Positions (direct):
B (0.000, 0.000, 0.000)
Se (0.000, 0.000, 0.500)
W (0.500, 0.500, 0.500)
N (0.000, 0.500, 0.000)
N (0.500, 0.000, 0.000)

## Properties
SG: P4/mmm


The calculated energies rank the structures as follows, beginning with the most stable: 1, 2.


1 | Below is a relaxed structure of YBSeN2, with properties calculated at the PBE-GGA level.

Cell lengths 3.789, 3.789, 4.440 Å; angles 90.00, 90.00, 90.00 degrees
Positions (direct):
Y (0.500, 0.500, 0.500)
B (0.000, 0.000, 0.000)
Se (0.000, 0.000, 0.500)
N (0.000, 0.500, 0.000)
N (0.500, 0.000, 0.000)

## Properties
SG: P4/mmm


2 | Below is a relaxed structure of YBSeN2, with properties calculated at the PBE-GGA level.

Cell lengths 4.486, 4.486, 5.719 Å; angles 90.00, 90.00, 90.00 degrees
Positions (direct):
Y (0.000, 0.000, 0.000)
B (0.500, 0.500, 0.500)
Se (0.000, 0.000, 0.500)
N (0.000, 0.500, 0.000)
N (0.500, 0.000, 0.000)

## Properties
SG: P4/mmm


The calculated energies rank the structures as follows, beginning with the most stable: 1, 2.


1 | Below is a relaxed structure of YBSe2N, with properties calculated at the PBE-GGA level.

Cell lengths 5.594, 5.594, 2.777 Å; angles 90.00, 90.00, 90.00 degrees
Positions (direct):
Y (0.500, 0.500, 0.500)
B (0.000, 0.000, 0.000)
Se (0.000, 0.500, 0.000)
Se (0.500, 0.000, 0.000)
N (0.000, 0.000, 0.500)

## Properties
SG: P4/mmm


2 | Below is a relaxed structure of YBSe2N, with properties calculated at the PBE-GGA level.

Cell lengths 5.532, 5.532, 4.499 Å; angles 90.00, 90.00, 90.00 degrees
Positions (direct):
Y (0.000, 0.000, 0.000)
B (0.500, 0.500, 0.500)
Se (0.000, 0.500, 0.000)
Se (0.500, 0.000, 0.000)
N (0.000, 0.000, 0.500)

## Properties
SG: P4/mmm


The calculated energies rank the structures as follows, beginning with the most stable: 1, 2.


1 | Below is a relaxed structure of Si2BN2, with properties calculated at the PBE-GGA level.

Cell lengths 6.111, 6.111, 3.156 Å; angles 90.00, 90.00, 90.00 degrees
Positions (direct):
Si (0.220, 0.720, 0.000)
Si (0.720, 0.780, 0.000)
Si (0.780, 0.280, 0.000)
Si (0.280, 0.220, 0.000)
B (0.000, 0.000, 0.000)
B (0.500, 0.500, 0.000)
N (0.158, 0.658, 0.500)
N (0.658, 0.842, 0.500)
N (0.842, 0.342, 0.500)
N (0.342, 0.158, 0.500)

## Properties
SG: P4/mbm


2 | Below is a relaxed structure of Si2BN2, with properties calculated at the PBE-GGA level.

Cell lengths 3.757, 3.757, 4.333 Å; angles 64.31, 64.31, 90.00 degrees
Positions (direct):
Si (0.319, 0.319, 0.363)
Si (0.681, 0.681, 0.637)
B (0.000, 0.000, 0.000)
N (0.750, 0.250, 0.500)
N (0.250, 0.750, 0.500)

## Properties
SG: I4/mmm


The calculated energies rank the structures as follows, beginning with the most stable: 1, 2.


1 | Below is a relaxed structure of SiBN2, with properties calculated at the PBE-GGA level.

Cell lengths 3.479, 3.479, 3.479 Å; angles 60.00, 60.00, 60.00 degrees
Positions (direct):
Si (0.500, 0.500, 0.500)
B (0.000, 0.000, 0.000)
N (0.250, 0.250, 0.250)
N (0.750, 0.750, 0.750)

## Properties
SG: Fm-3m


2 | Below is a relaxed structure of SiBN2, with properties calculated at the PBE-GGA level.

Cell lengths 4.005, 4.005, 4.767 Å; angles 65.16, 65.16, 90.00 degrees
Positions (direct):
Si (0.000, 0.000, 0.000)
Si (0.750, 0.250, 0.500)
B (0.500, 0.500, 0.000)
B (0.250, 0.750, 0.500)
N (0.577, 0.125, 0.250)
N (0.173, 0.625, 0.250)
N (0.375, 0.423, 0.750)
N (0.875, 0.827, 0.750)

## Properties
SG: I-42d


3 | Below is a relaxed structure of SiBN2, with properties calculated at the PBE-GGA level.

Cell lengths 5.115, 5.115, 5.115 Å; angles 31.96, 31.96, 31.96 degrees
Positions (direct):
Si (0.500, 0.500, 0.500)
B (0.000, 0.000, 0.000)
N (0.903, 0.903, 0.903)
N (0.097, 0.097, 0.097)

## Properties
SG: R-3m


The calculated energies rank the structures as follows, beginning with the most stable: 3, 2, 1.


1 | Below is a relaxed structure of SiB3N, with properties calculated at the PBE-GGA level.

Cell lengths 3.485, 3.485, 3.485 Å; angles 90.00, 90.00, 90.00 degrees
Positions (direct):
Si (0.500, 0.500, 0.500)
B (0.000, 0.500, 0.000)
B (0.000, 0.000, 0.500)
B (0.500, 0.000, 0.000)
N (0.000, 0.000, 0.000)

## Properties
SG: Pm-3m


2 | Below is a relaxed structure of SiB3N, with properties calculated at the PBE-GGA level.

Cell lengths 3.921, 3.921, 3.921 Å; angles 90.00, 90.00, 90.00 degrees
Positions (direct):
Si (0.000, 0.000, 0.000)
B (0.000, 0.500, 0.000)
B (0.000, 0.000, 0.500)
B (0.500, 0.000, 0.000)
N (0.500, 0.500, 0.500)

## Properties
SG: Pm-3m


The calculated energies rank the structures as follows, beginning with the most stable: 1, 2.


1 | Below is a relaxed structure of SmBN, with properties calculated at the PBE-GGA level.

Cell lengths 3.686, 3.424, 6.386 Å; angles 90.00, 73.22, 90.00 degrees
Positions (direct):
Sm (0.453, 0.716, 0.113)
Sm (0.170, 0.216, 0.680)
B (0.849, 0.216, 0.321)
B (0.774, 0.716, 0.472)
N (0.970, 0.216, 0.080)
N (0.654, 0.716, 0.713)

## Properties
SG: Cmcm


2 | Below is a relaxed structure of SmBN, with properties calculated at the PBE-GGA level.

Cell lengths 3.803, 3.803, 4.203 Å; angles 116.90, 116.90, 90.00 degrees
Positions (direct):
B (0.350, 0.350, 0.700)
Sm (0.945, 0.945, 0.890)
N (0.555, 0.555, 0.110)

## Properties
SG: I4mm


The calculated energies rank the structures as follows, beginning with the most stable: 1, 2.


1 | Below is a relaxed structure of SnB3N, with properties calculated at the PBE-GGA level.

Cell lengths 4.541, 4.541, 4.541 Å; angles 90.00, 90.00, 90.00 degrees
Positions (direct):
B (0.000, 0.500, 0.000)
B (0.000, 0.000, 0.500)
B (0.500, 0.000, 0.000)
Sn (0.000, 0.000, 0.000)
N (0.500, 0.500, 0.500)

## Properties
SG: Pm-3m


2 | Below is a relaxed structure of SnB3N, with properties calculated at the PBE-GGA level.

Cell lengths 3.723, 3.723, 3.723 Å; angles 90.00, 90.00, 90.00 degrees
Positions (direct):
B (0.000, 0.500, 0.000)
B (0.000, 0.000, 0.500)
B (0.500, 0.000, 0.000)
Sn (0.500, 0.500, 0.500)
N (0.000, 0.000, 0.000)

## Properties
SG: Pm-3m


The calculated energies rank the structures as follows, beginning with the most stable: 2, 1.